Entry 1:
# Ce2Pm3Ho6Th, relaxed, DFT PBE-GGA
data_Ce2Pm3Ho6Th
_space_group_name_H-M_alt 'C 1 2/m 1'
_space_group_IT_number 12
_cell_length_a 6.160
_cell_length_b 10.670
_cell_length_c 11.691
_cell_angle_alpha 90.00
_cell_angle_beta 100.13
_cell_angle_gamma 90.00
loop_
_space_group_symop_operation_xyz
'x,y,z'
'-x,-y,-z'
'-x,y,-z'
'x,-y,z'
'x+1/2,y+1/2,z'
'-x+1/2,-y+1/2,-z'
'-x+1/2,y+1/2,-z'
'x+1/2,-y+1/2,z'
loop_
_atom_site_label
_atom_site_type_symbol
_atom_site_fract_x
_atom_site_fract_y
_atom_site_fract_z
_atom_site_occupancy
Ce1 Ce 0.000 0.167 0.000 1
Pm1 Pm 0.000 0.000 0.500 1
Pm2 Pm 0.000 0.333 0.500 1
Ho1 Ho 0.248 0.334 0.244 1
Ho2 Ho 0.250 0.000 0.244 1
Th1 Th 0.000 0.500 0.000 1
# Formation enthalpy at 0 K ... 38 meV/atom
# Fermi-level density of states ... 20.40 states/eV/f.u.
# Calculated volume ... 31.5 Å³/atom
# Total moment ... 1.28 μB per formula unit
# Total DFT energy (no corrections) ... -0.1854 hartree per atom

=====

Entry 2:
# Pm8C3I3O, relaxed, DFT PBE-GGA
data_Pm8C3I3O
_space_group_name_H-M_alt 'C 1 2/m 1'
_space_group_IT_number 12
_cell_length_a 13.186
_cell_length_b 7.596
_cell_length_c 8.789
_cell_angle_alpha 90.00
_cell_angle_beta 120.04
_cell_angle_gamma 90.00
loop_
_space_group_symop_operation_xyz
'x,y,z'
'-x,-y,-z'
'-x,y,-z'
'x,-y,z'
'x+1/2,y+1/2,z'
'-x+1/2,-y+1/2,-z'
'-x+1/2,y+1/2,-z'
'x+1/2,-y+1/2,z'
loop_
_atom_site_label
_atom_site_type_symbol
_atom_site_fract_x
_atom_site_fract_y
_atom_site_fract_z
_atom_site_occupancy
Pm1 Pm 0.026 0.247 0.325 1
Pm2 Pm 0.225 0.000 0.675 1
Pm3 Pm 0.227 0.500 0.675 1
C1 C 0.000 0.000 0.500 1
C2 C 0.250 0.250 0.500 1
I1 I 0.000 0.500 0.000 1
I2 I 0.250 0.250 0.000 1
O1 O 0.000 0.500 0.500 1
# Fermi-level density of states ... 8.15 states/eV/f.u.
# Calculated volume ... 25.4 Å³/atom
# Total moment ... 0.52 μB per formula unit
# Total DFT energy (no corrections) ... -0.2165 hartree per atom
# Uncorrected formation energy ... -0.872 eV/atom

=====

Entry 3:
# PrNd7Cd4, relaxed, DFT PBE-GGA
data_PrNd7Cd4
_space_group_name_H-M_alt 'C 1 2/m 1'
_space_group_IT_number 12
_cell_length_a 15.100
_cell_length_b 5.912
_cell_length_c 10.014
_cell_angle_alpha 90.00
_cell_angle_beta 122.05
_cell_angle_gamma 90.00
loop_
_space_group_symop_operation_xyz
'x,y,z'
'-x,-y,-z'
'-x,y,-z'
'x,-y,z'
'x+1/2,y+1/2,z'
'-x+1/2,-y+1/2,-z'
'-x+1/2,y+1/2,-z'
'x+1/2,-y+1/2,z'
loop_
_atom_site_label
_atom_site_type_symbol
_atom_site_fract_x
_atom_site_fract_y
_atom_site_fract_z
_atom_site_occupancy
Pr1 Pr 0.000 0.000 0.000 1
Nd1 Nd 0.000 0.500 0.000 1
Nd2 Nd 0.070 0.000 0.411 1
Nd3 Nd 0.204 0.000 0.882 1
Nd4 Nd 0.235 0.500 0.692 1
Cd1 Cd 0.039 0.500 0.711 1
Cd2 Cd 0.182 0.500 0.343 1
# Formation enthalpy at 0 K ... -32 meV/atom
# Fermi-level density of states ... 14.82 states/eV/f.u.
# Calculated volume ... 31.6 Å³/atom
# Total moment ... 0.17 μB per formula unit
# Total DFT energy (no corrections) ... -0.1292 hartree per atom

=====

Entry 4:
# PmMgHg, relaxed, DFT PBE-GGA
data_PmMgHg
_space_group_name_H-M_alt 'C m c m'
_space_group_IT_number 63
_space_group_name_Hall '-C 2c 2'
_cell_length_a 3.406
_cell_length_b 18.533
_cell_length_c 5.504
_cell_angle_alpha 90.00
_cell_angle_beta 90.00
_cell_angle_gamma 90.00
loop_
_atom_site_label
_atom_site_type_symbol
_atom_site_fract_x
_atom_site_fract_y
_atom_site_fract_z
_atom_site_occupancy
Pm1 Pm 0.000 0.220 0.250 1
Mg1 Mg 0.000 0.115 0.750 1
Hg1 Hg 0.000 0.047 0.250 1
# Formation enthalpy at 0 K ... -2 meV/atom
# Fermi-level density of states ... 2.67 states/eV/f.u.
# Calculated volume ... 28.9 Å³/atom
# ΔE to the lowest computed polymorph ... 408 meV/atom
# Total moment ... 0.00 μB per formula unit
# Total DFT energy (no corrections) ... -0.0815 hartree per atom

=====

Entry 5:
# RbIn2GaPb4, relaxed, DFT PBE-GGA
data_RbIn2GaPb4
_space_group_name_H-M_alt 'R -3 m'
_space_group_IT_number 166
_space_group_name_Hall '-R 3 2"'
_cell_length_a 5.6252
_cell_length_b 5.6252
_cell_length_c 29.4889
_cell_angle_alpha 90.00
_cell_angle_beta 90.00
_cell_angle_gamma 120.00
loop_
_atom_site_label
_atom_site_type_symbol
_atom_site_fract_x
_atom_site_fract_y
_atom_site_fract_z
_atom_site_occupancy
Rb1 Rb 0.0000 0.0000 0.0000 1
In1 In 0.0000 0.0000 0.2378 1
Ga1 Ga 0.0000 0.0000 0.5000 1
Pb1 Pb 0.0000 0.0000 0.1290 1
Pb2 Pb 0.0000 0.0000 0.4074 1
# Formation enthalpy at 0 K ... -2 meV/atom
# Fermi-level density of states ... 3.83 states/eV/f.u.
# Calculated volume ... 33.7 Å³/atom
# Total moment ... 0.00 μB per formula unit
# Total DFT energy (no corrections) ... -0.1117 hartree per atom

=====

Entry 6:
# Tb2PrRhN4, relaxed, DFT PBE-GGA
data_Tb2PrRhN4
_space_group_name_H-M_alt 'C m c m'
_space_group_IT_number 63
_space_group_name_Hall '-C 2c 2'
_cell_length_a 3.457
_cell_length_b 11.839
_cell_length_c 11.613
_cell_angle_alpha 90.00
_cell_angle_beta 90.00
_cell_angle_gamma 90.00
loop_
_atom_site_label
_atom_site_type_symbol
_atom_site_fract_x
_atom_site_fract_y
_atom_site_fract_z
_atom_site_occupancy
Tb1 Tb 0.000 0.130 0.045 1
Pr1 Pr 0.000 0.387 0.250 1
Rh1 Rh 0.000 0.352 0.750 1
N1 N 0.000 0.052 0.250 1
N2 N 0.000 0.229 0.627 1
N3 N 0.000 0.500 0.000 1
# Fermi-level density of states ... 2.58 states/eV/f.u.
# Calculated volume ... 14.9 Å³/atom
# Total moment ... 0.00 μB per formula unit
# Total DFT energy (no corrections) ... -0.2858 hartree per atom
# Uncorrected formation energy ... -0.940 eV/atom

=====

Entry 7:
# Np3Fe5S12, relaxed, DFT PBE-GGA
data_Np3Fe5S12
_space_group_name_H-M_alt 'I a -3 d'
_space_group_IT_number 230
_space_group_name_Hall '-I 4bd 2c 3'
_cell_length_a 14.357
_cell_length_b 14.357
_cell_length_c 14.357
_cell_angle_alpha 90.00
_cell_angle_beta 90.00
_cell_angle_gamma 90.00
loop_
_atom_site_label
_atom_site_type_symbol
_atom_site_fract_x
_atom_site_fract_y
_atom_site_fract_z
_atom_site_occupancy
Np1 Np 0.000 0.250 0.125 1
Fe1 Fe 0.000 0.000 0.000 1
Fe2 Fe 0.000 0.250 0.375 1
S1 S 0.030 0.058 0.645 1
# Fermi-level density of states ... 33.79 states/eV/f.u.
# Calculated volume ... 18.5 Å³/atom
# Total moment ... 19.72 μB per formula unit
# Total DFT energy (no corrections) ... -0.2669 hartree per atom
# Uncorrected formation energy ... -0.729 eV/atom

=====

Entry 8:
# CoH3Br, relaxed, DFT PBE-GGA
data_CoH3Br
_space_group_name_H-M_alt 'P m -3 m'
_space_group_IT_number 221
_space_group_name_Hall '-P 4 2 3'
_cell_length_a 3.792
_cell_length_b 3.792
_cell_length_c 3.792
_cell_angle_alpha 90.00
_cell_angle_beta 90.00
_cell_angle_gamma 90.00
loop_
_atom_site_label
_atom_site_type_symbol
_atom_site_fract_x
_atom_site_fract_y
_atom_site_fract_z
_atom_site_occupancy
Co1 Co 0.000 0.000 0.000 1
H1 H 0.000 0.500 0.500 1
Br1 Br 0.500 0.500 0.500 1
# Fermi-level density of states ... 4.84 states/eV/f.u.
# Calculated volume ... 10.9 Å³/atom
# ΔE to the lowest computed polymorph ... 784 meV/atom
# Total moment ... 2.36 μB per formula unit
# Total DFT energy (no corrections) ... -0.0819 hartree per atom

=====

Entry 9:
# ZrGaN2, relaxed, DFT PBE-GGA
data_ZrGaN2
_space_group_name_H-M_alt 'F m -3 m'
_space_group_IT_number 225
_space_group_name_Hall '-F 4 2 3'
_cell_length_a 5.654
_cell_length_b 5.654
_cell_length_c 5.654
_cell_angle_alpha 90.00
_cell_angle_beta 90.00
_cell_angle_gamma 90.00
loop_
_atom_site_label
_atom_site_type_symbol
_atom_site_fract_x
_atom_site_fract_y
_atom_site_fract_z
_atom_site_occupancy
Zr1 Zr 0.000 0.000 0.000 1
Ga1 Ga 0.000 0.000 0.500 1
N1 N 0.250 0.250 0.250 1
# Fermi-level density of states ... 4.45 states/eV/f.u.
# Calculated volume ... 11.3 Å³/atom
# ΔE to the lowest computed polymorph ... 812 meV/atom
# Total moment ... 0.00 μB per formula unit
# Total DFT energy (no corrections) ... -0.2539 hartree per atom
# Uncorrected formation energy ... 0.147 eV/atom

=====

Entry 10:
# ThGaAg2, relaxed, DFT PBE-GGA
data_ThGaAg2
_space_group_name_H-M_alt 'F m -3 m'
_space_group_IT_number 225
_space_group_name_Hall '-F 4 2 3'
_cell_length_a 7.051
_cell_length_b 7.051
_cell_length_c 7.051
_cell_angle_alpha 90.00
_cell_angle_beta 90.00
_cell_angle_gamma 90.00
loop_
_atom_site_label
_atom_site_type_symbol
_atom_site_fract_x
_atom_site_fract_y
_atom_site_fract_z
_atom_site_occupancy
Th1 Th 0.000 0.000 0.000 1
Ga1 Ga 0.000 0.000 0.500 1
Ag1 Ag 0.250 0.250 0.250 1
# Formation enthalpy at 0 K ... -163 meV/atom
# Fermi-level density of states ... 1.93 states/eV/f.u.
# Calculated volume ... 21.9 Å³/atom
# ΔE to the lowest computed polymorph ... 66 meV/atom
# Total moment ... 0.00 μB per formula unit
# Total DFT energy (no corrections) ... -0.1544 hartree per atom

=====

Entry 11:
# TiMn2V2, relaxed, DFT PBE-GGA
data_TiMn2V2
_space_group_name_H-M_alt 'C m m m'
_space_group_IT_number 65
_space_group_name_Hall '-C 2 2'
_cell_length_a 2.955
_cell_length_b 15.489
_cell_length_c 2.884
_cell_angle_alpha 90.00
_cell_angle_beta 90.00
_cell_angle_gamma 90.00
loop_
_atom_site_label
_atom_site_type_symbol
_atom_site_fract_x
_atom_site_fract_y
_atom_site_fract_z
_atom_site_occupancy
Ti1 Ti 0.000 0.000 0.000 1
Mn1 Mn 0.000 0.399 0.500 1
V1 V 0.000 0.184 0.000 1
# Formation enthalpy at 0 K ... 31 meV/atom
# Fermi-level density of states ... 5.53 states/eV/f.u.
# Calculated volume ... 13.2 Å³/atom
# ΔE to the lowest computed polymorph ... 0 meV/atom
# Total moment ... 0.00 μB per formula unit
# Total DFT energy (no corrections) ... -0.3257 hartree per atom

=====

Entry 12:
# PmSc3Tl4, relaxed, DFT PBE-GGA
data_PmSc3Tl4
_space_group_name_H-M_alt 'P m m a'
_space_group_IT_number 51
_cell_length_a 10.410
_cell_length_b 7.369
_cell_length_c 5.205
_cell_angle_alpha 90.00
_cell_angle_beta 90.00
_cell_angle_gamma 90.00
loop_
_space_group_symop_operation_xyz
'x,y,z'
'-x,-y,-z'
'-x+1/2,-y,z'
'x+1/2,y,-z'
'x+1/2,-y,-z'
'-x+1/2,y,z'
'-x,y,-z'
'x,-y,z'
loop_
_atom_site_label
_atom_site_type_symbol
_atom_site_fract_x
_atom_site_fract_y
_atom_site_fract_z
_atom_site_occupancy
Pm1 Pm 0.000 0.000 0.000 1
Sc1 Sc 0.000 0.500 0.000 1
Sc2 Sc 0.250 0.000 0.498 1
Sc3 Sc 0.250 0.500 0.497 1
Tl1 Tl 0.000 0.263 0.500 1
Tl2 Tl 0.250 0.263 0.997 1
# Formation enthalpy at 0 K ... -275 meV/atom
# Fermi-level density of states ... 7.41 states/eV/f.u.
# Calculated volume ... 25.0 Å³/atom
# Total moment ... 0.00 μB per formula unit
# Total DFT energy (no corrections) ... -0.1626 hartree per atom

=====

total DFT energy (no corrections) of number 11 (TiMn2V2)? -0.3257 hartree per atom

=====

Which of these has the lowest calculated volume? CoH3Br

=====

Which of these has the highest total moment? Np3Fe5S12